# 1
Pm2TiAg2O6 | PBE | relaxed Values from VASP.

Cell and atoms, written as Quantum ESPRESSO input:
```
&SYSTEM
  ibrav = 0, nat = 11, ntyp = 4
/
ATOMIC_SPECIES
Pm 145.00 Pm.upf
Ti 47.87 Ti.upf
Ag 107.87 Ag.upf
O 16.00 O.upf
CELL_PARAMETERS angstrom
2.9563 -5.2286 0.0000
2.9563 5.2286 0.0000
-1.1201 0.0000 6.2900
ATOMIC_POSITIONS crystal
Pm 0.1624 0.8376 0.0000
Pm 0.8376 0.1624 0.0000
Ti 0.5000 0.5000 0.0000
Ag 0.3526 0.6474 0.5000
Ag 0.6474 0.3526 0.5000
O 0.1837 0.1837 0.8508
O 0.2438 0.5406 0.1704
O 0.4594 0.7562 0.8296
O 0.5406 0.2438 0.1704
O 0.7562 0.4594 0.8296
O 0.8163 0.8163 0.1492
```

E: -7.12 eV/atom
Space-group type: C2/m


# 2
Cd3GaSn | PBE | relaxed Values from VASP.

Cell and atoms, written as Quantum ESPRESSO input:
```
&SYSTEM
  ibrav = 0, nat = 10, ntyp = 3
/
ATOMIC_SPECIES
Cd 112.41 Cd.upf
Ga 69.72 Ga.upf
Sn 118.71 Sn.upf
CELL_PARAMETERS angstrom
3.4990 0.0000 0.0000
1.5741 7.0108 0.0000
0.2882 1.4532 9.5476
ATOMIC_POSITIONS crystal
Cd 0.0356 0.4185 0.1515
Cd 0.1057 0.2364 0.4521
Cd 0.3383 0.7951 0.0511
Cd 0.6617 0.2049 0.9489
Cd 0.8943 0.7636 0.5479
Cd 0.9644 0.5815 0.8485
Ga 0.4617 0.6033 0.3465
Ga 0.5383 0.3967 0.6535
Sn 0.2816 0.9898 0.7428
Sn 0.7184 0.0102 0.2572
```

Space-group type: P-1
Energy relative to the lowest polymorph listed for this composition: 0.000 eV/atom


# 3
Na2YTlBr6 | PBE | relaxed Values from VASP.

Cell and atoms, written as Quantum ESPRESSO input:
```
&SYSTEM
  ibrav = 0, nat = 10, ntyp = 4
/
ATOMIC_SPECIES
Na 22.99 Na.upf
Y 88.91 Y.upf
Tl 204.38 Tl.upf
Br 79.90 Br.upf
CELL_PARAMETERS angstrom
3.8022 2.1952 6.9483
-3.8022 2.1952 6.9483
0.0000 -4.3904 6.9483
ATOMIC_POSITIONS crystal
Na 0.0000 0.0000 0.0000
Na 0.4852 0.4852 0.4852
Y 0.6782 0.6782 0.6782
Tl 0.1956 0.1956 0.1956
Br 0.0605 0.4287 0.7573
Br 0.2847 0.8561 0.6343
Br 0.4287 0.7572 0.0605
Br 0.6343 0.2847 0.8561
Br 0.7573 0.0605 0.4287
Br 0.8561 0.6343 0.2847
```

E: -3.70 eV/atom
Space-group type: R3


# 4
La2HgPb3 | PBE | relaxed Values from VASP.

Cell and atoms, written as Quantum ESPRESSO input:
```
&SYSTEM
  ibrav = 0, nat = 6, ntyp = 3
/
ATOMIC_SPECIES
La 138.91 La.upf
Hg 200.59 Hg.upf
Pb 207.20 Pb.upf
CELL_PARAMETERS angstrom
6.7892 0.0000 0.0000
-3.3946 5.8796 0.0000
0.0000 0.0000 5.4453
ATOMIC_POSITIONS crystal
La 0.3333 0.6667 0.0000
La 0.6667 0.3333 0.0000
Hg 0.0000 0.0000 0.0000
Pb 0.0000 0.5000 0.5000
Pb 0.5000 0.0000 0.5000
Pb 0.5000 0.5000 0.5000
```

E: -3.80 eV/atom
Space-group type: P6/mmm


# 5
Rb3Np3PbS8 | PBE | relaxed Values from VASP.

Cell and atoms, written as Quantum ESPRESSO input:
```
&SYSTEM
  ibrav = 0, nat = 15, ntyp = 4
/
ATOMIC_SPECIES
Rb 85.47 Rb.upf
Np 237.00 Np.upf
Pb 207.20 Pb.upf
S 32.06 S.upf
CELL_PARAMETERS angstrom
4.1242 2.3811 7.6592
-4.1242 2.3811 7.6592
0.0000 -4.7622 7.6592
ATOMIC_POSITIONS crystal
Rb 0.0000 0.5000 0.5000
Rb 0.5000 0.0000 0.5000
Rb 0.5000 0.5000 0.0000
Np 0.0000 0.0000 0.5000
Np 0.0000 0.5000 0.0000
Np 0.5000 0.0000 0.0000
Pb 0.5000 0.5000 0.5000
S 0.2040 0.7426 0.7426
S 0.2296 0.2296 0.2296
S 0.2574 0.2574 0.7960
S 0.2574 0.7960 0.2574
S 0.7426 0.2040 0.7426
S 0.7426 0.7426 0.2040
S 0.7704 0.7704 0.7704
S 0.7960 0.2574 0.2574
```

E: -6.48 eV/atom
Space-group type: R-3m


# 6
Y12Sn3O5 | PBE | relaxed Values from VASP.

Cell and atoms, written as Quantum ESPRESSO input:
```
&SYSTEM
  ibrav = 0, nat = 80, ntyp = 3
/
ATOMIC_SPECIES
Y 88.91 Y.upf
Sn 118.71 Sn.upf
O 16.00 O.upf
CELL_PARAMETERS angstrom
-7.8112 7.8112 7.8112
7.8112 -7.8112 7.8112
7.8112 7.8112 -7.8112
ATOMIC_POSITIONS crystal
Y 0.0087 0.1967 0.1079
Y 0.0087 0.3120 0.9008
Y 0.0888 0.6967 0.6880
Y 0.0888 0.8921 0.4008
Y 0.0992 0.6079 0.4112
Y 0.0992 0.9913 0.6880
Y 0.1079 0.0087 0.1967
Y 0.1079 0.5992 0.9112
Y 0.1880 0.1967 0.5888
Y 0.1880 0.4913 0.5992
Y 0.1967 0.1079 0.0087
Y 0.1967 0.5888 0.1880
Y 0.3033 0.3120 0.9112
Y 0.3033 0.4913 0.3921
Y 0.3120 0.9008 0.0087
Y 0.3120 0.9112 0.3033
Y 0.3921 0.3033 0.4913
Y 0.3921 0.5888 0.9008
Y 0.4008 0.0888 0.8921
Y 0.4008 0.8120 0.5087
Y 0.4112 0.0992 0.6079
Y 0.4112 0.8120 0.8033
Y 0.4913 0.3921 0.3033
Y 0.4913 0.5992 0.1880
Y 0.5087 0.4008 0.8120
Y 0.5087 0.6079 0.6967
Y 0.5888 0.1880 0.1967
Y 0.5888 0.9008 0.3921
Y 0.5992 0.1880 0.4913
Y 0.5992 0.9112 0.1079
Y 0.6079 0.4112 0.0992
Y 0.6079 0.6967 0.5087
Y 0.6880 0.0888 0.6967
Y 0.6880 0.0992 0.9913
Y 0.6967 0.5087 0.6079
Y 0.6967 0.6880 0.0888
Y 0.8033 0.4112 0.8120
Y 0.8033 0.8921 0.9913
Y 0.8120 0.5087 0.4008
Y 0.8120 0.8033 0.4112
Y 0.8921 0.4008 0.0888
Y 0.8921 0.9913 0.8033
Y 0.9008 0.0087 0.3120
Y 0.9008 0.3921 0.5888
Y 0.9112 0.1079 0.5992
Y 0.9112 0.3033 0.3120
Y 0.9913 0.6880 0.0992
Y 0.9913 0.8033 0.8921
Sn 0.1250 0.2500 0.3750
Sn 0.1250 0.3750 0.7500
Sn 0.2500 0.3750 0.1250
Sn 0.2500 0.8750 0.6250
Sn 0.3750 0.1250 0.2500
Sn 0.3750 0.7500 0.1250
Sn 0.6250 0.2500 0.8750
Sn 0.6250 0.8750 0.7500
Sn 0.7500 0.1250 0.3750
Sn 0.7500 0.6250 0.8750
Sn 0.8750 0.6250 0.2500
Sn 0.8750 0.7500 0.6250
O 0.0000 0.0000 0.0000
O 0.0000 0.0000 0.5000
O 0.0000 0.5000 0.0000
O 0.0000 0.5000 0.5000
O 0.1250 0.7500 0.8750
O 0.1250 0.8750 0.2500
O 0.2500 0.1250 0.8750
O 0.2500 0.6250 0.3750
O 0.3750 0.2500 0.6250
O 0.3750 0.6250 0.7500
O 0.5000 0.0000 0.0000
O 0.5000 0.0000 0.5000
O 0.5000 0.5000 0.0000
O 0.5000 0.5000 0.5000
O 0.6250 0.3750 0.2500
O 0.6250 0.7500 0.3750
O 0.7500 0.3750 0.6250
O 0.7500 0.8750 0.1250
O 0.8750 0.1250 0.7500
O 0.8750 0.2500 0.1250
```

E: -7.36 eV/atom
Space-group type: Ia-3d


# 7
Li2LaRhF | PBE | relaxed Values from VASP.

Cell and atoms, written as Quantum ESPRESSO input:
```
&SYSTEM
  ibrav = 0, nat = 5, ntyp = 4
/
ATOMIC_SPECIES
Li 6.94 Li.upf
La 138.91 La.upf
Rh 102.91 Rh.upf
F 19.00 F.upf
CELL_PARAMETERS angstrom
3.9888 0.0000 0.0000
0.0000 3.9888 0.0000
0.0000 0.0000 5.3408
ATOMIC_POSITIONS crystal
Li 0.0000 0.5000 0.0000
Li 0.5000 0.0000 0.0000
La 0.0000 0.0000 0.5000
Rh 0.5000 0.5000 0.5000
F 0.0000 0.0000 0.0000
```

E: -4.94 eV/atom
Space-group type: P4/mmm


# 8
Sr4InHg3 | PBE | relaxed Values from VASP.

Cell and atoms, written as Quantum ESPRESSO input:
```
&SYSTEM
  ibrav = 0, nat = 8, ntyp = 3
/
ATOMIC_SPECIES
Sr 87.62 Sr.upf
In 114.82 In.upf
Hg 200.59 Hg.upf
CELL_PARAMETERS angstrom
4.2882 0.0000 0.0000
0.0000 5.1730 0.0000
0.0000 0.0000 12.4260
ATOMIC_POSITIONS crystal
Sr 0.0000 0.0000 0.0000
Sr 0.0000 0.5000 0.2799
Sr 0.5000 0.0000 0.4935
Sr 0.5000 0.5000 0.7834
In 0.0000 0.0000 0.7141
Hg 0.0000 0.5000 0.5624
Hg 0.5000 0.0000 0.2191
Hg 0.5000 0.5000 0.0602
```

Space-group type: Pmm2
Energy relative to the lowest polymorph listed for this composition: 0.041 eV/atom


Please write out number 6 again, unchanged.
Y12Sn3O5 | PBE | relaxed Values from VASP.

Cell and atoms, written as Quantum ESPRESSO input:
```
&SYSTEM
  ibrav = 0, nat = 80, ntyp = 3
/
ATOMIC_SPECIES
Y 88.91 Y.upf
Sn 118.71 Sn.upf
O 16.00 O.upf
CELL_PARAMETERS angstrom
-7.8112 7.8112 7.8112
7.8112 -7.8112 7.8112
7.8112 7.8112 -7.8112
ATOMIC_POSITIONS crystal
Y 0.0087 0.1967 0.1079
Y 0.0087 0.3120 0.9008
Y 0.0888 0.6967 0.6880
Y 0.0888 0.8921 0.4008
Y 0.0992 0.6079 0.4112
Y 0.0992 0.9913 0.6880
Y 0.1079 0.0087 0.1967
Y 0.1079 0.5992 0.9112
Y 0.1880 0.1967 0.5888
Y 0.1880 0.4913 0.5992
Y 0.1967 0.1079 0.0087
Y 0.1967 0.5888 0.1880
Y 0.3033 0.3120 0.9112
Y 0.3033 0.4913 0.3921
Y 0.3120 0.9008 0.0087
Y 0.3120 0.9112 0.3033
Y 0.3921 0.3033 0.4913
Y 0.3921 0.5888 0.9008
Y 0.4008 0.0888 0.8921
Y 0.4008 0.8120 0.5087
Y 0.4112 0.0992 0.6079
Y 0.4112 0.8120 0.8033
Y 0.4913 0.3921 0.3033
Y 0.4913 0.5992 0.1880
Y 0.5087 0.4008 0.8120
Y 0.5087 0.6079 0.6967
Y 0.5888 0.1880 0.1967
Y 0.5888 0.9008 0.3921
Y 0.5992 0.1880 0.4913
Y 0.5992 0.9112 0.1079
Y 0.6079 0.4112 0.0992
Y 0.6079 0.6967 0.5087
Y 0.6880 0.0888 0.6967
Y 0.6880 0.0992 0.9913
Y 0.6967 0.5087 0.6079
Y 0.6967 0.6880 0.0888
Y 0.8033 0.4112 0.8120
Y 0.8033 0.8921 0.9913
Y 0.8120 0.5087 0.4008
Y 0.8120 0.8033 0.4112
Y 0.8921 0.4008 0.0888
Y 0.8921 0.9913 0.8033
Y 0.9008 0.0087 0.3120
Y 0.9008 0.3921 0.5888
Y 0.9112 0.1079 0.5992
Y 0.9112 0.3033 0.3120
Y 0.9913 0.6880 0.0992
Y 0.9913 0.8033 0.8921
Sn 0.1250 0.2500 0.3750
Sn 0.1250 0.3750 0.7500
Sn 0.2500 0.3750 0.1250
Sn 0.2500 0.8750 0.6250
Sn 0.3750 0.1250 0.2500
Sn 0.3750 0.7500 0.1250
Sn 0.6250 0.2500 0.8750
Sn 0.6250 0.8750 0.7500
Sn 0.7500 0.1250 0.3750
Sn 0.7500 0.6250 0.8750
Sn 0.8750 0.6250 0.2500
Sn 0.8750 0.7500 0.6250
O 0.0000 0.0000 0.0000
O 0.0000 0.0000 0.5000
O 0.0000 0.5000 0.0000
O 0.0000 0.5000 0.5000
O 0.1250 0.7500 0.8750
O 0.1250 0.8750 0.2500
O 0.2500 0.1250 0.8750
O 0.2500 0.6250 0.3750
O 0.3750 0.2500 0.6250
O 0.3750 0.6250 0.7500
O 0.5000 0.0000 0.0000
O 0.5000 0.0000 0.5000
O 0.5000 0.5000 0.0000
O 0.5000 0.5000 0.5000
O 0.6250 0.3750 0.2500
O 0.6250 0.7500 0.3750
O 0.7500 0.3750 0.6250
O 0.7500 0.8750 0.1250
O 0.8750 0.1250 0.7500
O 0.8750 0.2500 0.1250
```

E: -7.36 eV/atom
Space-group type: Ia-3d